A relaxed RbGdSO crystal. Source: the Open Quantum Materials Database, functional PBE-GGA.

Summary:
calculated volume: 23.9 Å³/atom
ΔE to the lowest computed polymorph: 0.025 eV per atom
electronic total energy: -5.912 eV per atom
crystal system: monoclinic

a = 5.7743 Å, b = 5.7714 Å, c = 11.7988 Å
α = 90.00°, β = 103.68°, γ = 90.00°
Last column: nearest neighbours and their distance in Å.
Space group P2_1 (No. 4)
One atom of each set of equivalent atoms:
Rb (0.0512, 0.0000, 0.1070) (multiplicity 2)  4 S 3.18-3.19
Rb (0.4487, 0.9986, 0.8918) (multiplicity 2)  4 S 3.18-3.19
Gd (0.0457, 0.2567, 0.5934) (multiplicity 2)  4 O 2.30-2.31
Gd (0.4539, 0.2566, 0.4066) (multiplicity 2)  4 O 2.30-2.31
S (0.1068, 0.5001, 0.2253) (multiplicity 2)  2 Gd 2.90-2.92, 1 O 3.15, 4 Rb 3.18-3.19
S (0.3926, 0.4994, 0.7753) (multiplicity 2)  2 Gd 2.91-2.92, 1 O 3.16, 4 Rb 3.18-3.19
O (0.2504, 0.0074, 0.5002) (multiplicity 2)  4 Gd 2.30-2.31
O (0.2503, 0.5081, 0.5001) (multiplicity 2)  4 Gd 2.30-2.31